Record 1
A geometry-optimized Na2CdHg structure, computed with PBE.

Unit cell a=11.0895 b=4.8686 c=9.7917 alpha=90.00 beta=124.12 gamma=90.00
Closest atoms and distances in Å follow each position.
Space group C2/m (No. 12)
Unique sites:
Na  0.0000  0.0000  0.0000 [2 per cell]  2 Hg 3.03, 2 Cd 3.32
Na  0.0000  0.0000  0.5000 [2 per cell]  4 Hg 3.09, 2 Cd 3.34
Na  0.1026  0.5000  0.3124 [4 per cell]  4 Hg 3.24-3.33, 1 Cd 3.40, 4 Na 3.56-3.60
Cd  0.2456  0.0000  0.9074 [4 per cell]  2 Cd 3.00, 2 Hg 3.07, 2 Na 3.32-3.34
Hg  0.1939  0.5000  0.6896 [4 per cell]  7 Na 3.03-3.33, 2 Cd 3.07

Values from the calculation:
Energy = -1.122 eV/atom
Distance to the lowest polymorph of the same formula = 0.001 eV per atom
Density of states at the Fermi level = 0.41 states/eV per atom
Total magnetic moment = 0.000 Bohr magnetons per cell
Volume = 27.35 A^3/atom
Formation energy = -0.16 eV per atom

---

Record 2
A geometry-optimized Ba2Li2ReO6 structure, computed with PBE.

Unit cell a=6.4198 b=11.1720 c=5.2155 alpha=90.00 beta=103.75 gamma=90.00
Closest atoms and distances in Å follow each position.
Space group C2/m (No. 12)
Unique sites:
Ba  0.0000  0.1631  0.0000 [4 per cell]  6 O 2.70-2.73
Li  0.0000  0.3985  0.5000 [4 per cell]  4 O 2.00-2.03
Re  0.0000  0.5000  0.0000 [2 per cell]  6 O 1.96-1.98
O  0.1597  0.3726  0.2193 [8 per cell]  1 Re 1.96, 1 Li 2.00
O  0.2043  0.5000  0.7701 [4 per cell]  1 Re 1.98, 2 Li 2.03

Values from the calculation:
Energy = -6.605 eV/atom
Density of states at the Fermi level = 0.48 states/eV per atom
Total magnetic moment = 2.016 Bohr magnetons per cell
Volume = 16.52 A^3/atom

---

Record 3
A geometry-optimized BaCrTeN2 structure, computed with PBE.

Unit cell a=5.0090 b=5.0090 c=7.0076 alpha=90.00 beta=90.00 gamma=90.00
Closest atoms and distances in Å follow each position.
Space group P4/mmm (No. 123)
Unique sites:
Ba  0.0000  0.0000  0.0000 [1 per cell]  4 N 2.50
Cr  0.5000  0.5000  0.5000 [1 per cell]  4 Te 3.54
Te  0.0000  0.0000  0.5000 [1 per cell]  2 Ba 3.50, 4 Cr 3.54
N  0.0000  0.5000  0.0000 [2 per cell]  2 Ba 2.50

Values from the calculation:
Energy = -4.605 eV/atom
Distance to the lowest polymorph of the same formula = 1.277 eV per atom
Density of states at the Fermi level = 0.77 states/eV per atom
Total magnetic moment = 0.001 Bohr magnetons per cell
Volume = 35.16 A^3/atom

---

Record 4
A geometry-optimized Ce6IrOs structure, computed with PBE.

Unit cell a=6.5153 b=6.5164 c=7.5247 alpha=64.44 beta=64.44 gamma=60.07
Closest atoms and distances in Å follow each position.
Space group P-1 (No. 2)
Unique sites:
Ce  0.0596  0.4375  0.2526 [2 per cell]  1 Os 2.76, 1 Ir 2.79
Ce  0.2497  0.9411  0.7477 [2 per cell]  1 Os 2.76, 1 Ir 2.79
Ce  0.4381  0.7505  0.2528 [2 per cell]  1 Os 2.77, 1 Ir 2.79
Ir  0.5000  0.5000  0.0000 [1 per cell]  6 Ce 2.79
Os  0.0000  0.0000  0.5000 [1 per cell]  6 Ce 2.76-2.77

Values from the calculation:
Energy = -7.059 eV/atom
Distance to the lowest polymorph of the same formula = 0.007 eV per atom
Density of states at the Fermi level = 3.49 states/eV per atom
Total magnetic moment = 5.233 Bohr magnetons per cell
Volume = 30.01 A^3/atom
Formation energy = -0.10 eV per atom

---

Record 5
A geometry-optimized Hf2P2S structure, computed with PBE.

Unit cell a=7.0164 b=7.0164 c=3.5111 alpha=90.00 beta=90.00 gamma=90.00
Closest atoms and distances in Å follow each position.
Space group P4/mbm (No. 127)
Unique sites:
Hf  0.1651  0.3349  0.0000 [4 per cell]  2 S 2.62, 6 P 2.69-2.72
P  0.1292  0.6292  0.5000 [4 per cell]  1 P 2.56, 6 Hf 2.69-2.72
S  0.0000  0.0000  0.0000 [2 per cell]  4 Hf 2.62

Values from the calculation:
Energy = -8.081 eV/atom
Density of states at the Fermi level = 0.41 states/eV per atom
Total magnetic moment = 0.000 Bohr magnetons per cell
Volume = 17.29 A^3/atom

---

Record 6
A geometry-optimized MnRe2Ni structure, computed with PBE.

Unit cell a=3.7616 b=3.7616 c=7.3198 alpha=90.00 beta=90.00 gamma=90.00
Closest atoms and distances in Å follow each position.
Space group I4/mmm (No. 139)
Unique sites:
Mn  0.0000  0.0000  0.0000 [2 per cell]  8 Re 2.62, 4 Ni 2.66
Re  0.0000  0.5000  0.2500 [4 per cell]  4 Mn 2.62, 4 Ni 2.62, 4 Re 2.66
Ni  0.0000  0.0000  0.5000 [2 per cell]  8 Re 2.62, 4 Mn 2.66

Values from the calculation:
Energy = -9.903 eV/atom
Distance to the lowest polymorph of the same formula = 0.041 eV per atom
Density of states at the Fermi level = 0.83 states/eV per atom
Total magnetic moment = 0.001 Bohr magnetons per cell
Volume = 12.95 A^3/atom
Formation energy = 0.06 eV per atom